Record 1
CdFe2CoC after structural relaxation. Source: Alexandria via LeMat-Bulk, functional GGA-PBE.

Cell: 3.8625 3.8625 3.8941 Å, 90.00 90.00 90.00°
With the nearest neighbours (Å) after each atom.
Positions (direct):
Cd  0.0000  0.0000  0.0000  4 Co 2.73, 8 Fe 2.74
Fe  0.0000  0.5000  0.5000  2 C 1.93
Fe  0.5000  0.0000  0.5000  2 C 1.93
Co  0.5000  0.5000  0.0000  2 C 1.95
C  0.5000  0.5000  0.5000  4 Fe 1.93, 2 Co 1.95

Summary:
E_form = 0.15 eV/atom
Total energy = -33.4 eV per cell


Record 2
InSe2 after structural relaxation. Source: Alexandria via LeMat-Bulk, functional GGA-PBE.

Cell: 4.7718 4.7718 3.9270 Å, 90.00 90.00 120.00°
With the nearest neighbours (Å) after each atom.
Positions (direct):
In  0.0000  0.0000  0.0000  12 Se 3.38
Se  0.3333  0.6667  0.5000  3 Se 2.76
Se  0.6667  0.3333  0.5000  3 Se 2.76

Summary:
Formation energy (no corrections) = 0.110 eV/atom
Total energy = -9.4 eV per cell


Record 3
CaZrBe2N after structural relaxation. Source: Alexandria via LeMat-Bulk, functional GGA-PBE.

Cell: 4.8797 4.8797 4.2090 Å, 90.00 90.00 90.00°
With the nearest neighbours (Å) after each atom.
Positions (direct):
Ca  0.0000  0.0000  0.0000  8 Be 3.22, 4 N 3.45
Zr  0.5000  0.5000  0.5000  2 N 2.10
Be  0.0000  0.5000  0.5000  2 Zr 2.44
Be  0.5000  0.0000  0.5000  2 Zr 2.44
N  0.5000  0.5000  0.0000  2 Zr 2.10

Summary:
Energy relative to the lowest polymorph listed for this composition = 235 meV per atom
Formation energy (no corrections) = 0.566 eV/atom
Total energy = -23.5 eV per cell


- The lowest total energy belongs to which entry?
  CdFe2CoC


- total energy of number 1 (CdFe2CoC)?
  -33.4 eV per cell


- Number 1 is which compound?
  CdFe2CoC